Record 1
ZrPOs2, optimized geometry, DFT PBE; ΔH_f (0 K) = 83 meV per atom; E = -9.022 eV/atom; space-group type = C2/m; calculated volume = 62.89 Å³/f.u.
1.0
2.730 -4.746 0.000
2.730 4.746 0.000
-1.400 0.000 2.427
Zr P Os
1 1 2
Cartesian
0.000 0.000 0.000 Zr
2.730 0.000 0.000 P
0.665 2.373 1.213 Os
0.665 -2.373 1.213 Os

***

Record 2
Zr2POs, optimized geometry, DFT PBE; ΔH_f (0 K) = -446 meV per atom; E = -8.880 eV/atom; space-group type = P4mm; calculated volume = 78.78 Å³/f.u.
1.0
3.763 0.000 0.000
0.000 3.763 0.000
0.000 0.000 5.563
Zr P Os
2 1 1
Cartesian
0.000 0.000 0.000 Zr
1.882 1.882 2.173 Zr
1.882 1.882 5.006 P
0.000 0.000 2.573 Os

***

Record 3
ZrPOs2, optimized geometry, DFT PBE; ΔH_f (0 K) = -142 meV per atom; E = -9.246 eV/atom; space-group type = P4mm; calculated volume = 61.35 Å³/f.u.
1.0
2.922 0.000 0.000
0.000 2.922 0.000
0.000 0.000 7.187
Zr P Os
1 1 2
Cartesian
0.000 0.000 0.000 Zr
1.461 1.461 5.304 P
0.000 0.000 3.927 Os
1.461 1.461 2.132 Os